Mg5Cu4: relaxed, GGA-PBE.

```
9
Lattice="2.521 -3.631 -4.524 -2.523 -0.316 5.792 -5.417 1.206 -3.036" Properties=species:S:1:pos:R:3 pbc="T T T"
Mg -0.877 -1.398 2.424
Mg 0.000 0.000 0.000
Mg -3.537 -0.501 -1.568
Mg -1.882 -2.240 -0.200
Mg 0.874 -2.549 -1.157
Cu -5.164 0.579 1.793
Cu -1.884 -1.578 -4.917
Cu -1.012 -0.848 -2.643
Cu -2.776 0.311 0.963
```

## Properties
Total magnetization (μB/atom): 0.000
Density (Mg/m³): 4.21
V (Å³ per atom): 16.45
SG: I4/mmm
E above lowest polymorph (eV per atom): 0.0541
E (eV per cell): -24.21
Calculated formation energy (eV per atom): 0.02



La6Co2SeCl3: relaxed, GGA-PBE.

```
12
Lattice="4.191 0.000 0.000 0.000 8.883 0.182 -2.096 -2.688 8.764" Properties=species:S:1:pos:R:3 pbc="T T T"
Cl 2.096 -0.324 6.131
Cl 0.000 6.519 2.815
Cl 2.096 4.441 0.091
Co 2.096 4.169 5.924
Co 0.000 2.026 3.022
La 0.000 2.140 0.468
La 2.096 4.055 8.478
La 2.096 4.046 3.288
La 0.000 2.149 5.658
La 2.096 0.091 3.053
La 0.000 6.104 5.893
Se 2.096 0.000 0.000
```

## Properties
Total magnetization (μB/atom): 0.000
Density (Mg/m³): 5.75
V (Å³ per atom): 27.36
Formation energy from raw total energies (eV per atom): -1.20
SG: C2/m
E (eV per cell): -67.24



ReSeCl2: relaxed, GGA-PBE.

```
4
Lattice="-0.914 3.007 0.203 -3.772 -0.729 -6.184 -6.597 -1.839 -2.469" Properties=species:S:1:pos:R:3 pbc="T T T"
Re -3.049 0.862 -2.062
Se -8.234 -0.422 -6.389
Cl -3.998 -0.990 -3.336
Cl -1.186 -0.294 -0.991
```

## Properties
Total magnetization (μB/atom): 0.000
Density (Mg/m³): 5.37
V (Å³ per atom): 25.97
Formation energy from raw total energies (eV per atom): -0.19
SG: Cmmm
E above lowest polymorph (eV per atom): 0.0000
E (eV per cell): -20.40



Pr2InPd5Pt2: relaxed, GGA-PBE.

```
20
Lattice="4.184 0.000 0.000 0.000 9.693 0.000 0.000 0.000 9.693" Properties=species:S:1:pos:R:3 pbc="T T T"
Pd 2.092 5.485 6.784
Pd 2.092 7.755 9.054
Pd 2.092 0.000 4.846
Pd 2.092 4.208 2.909
Pd 2.092 6.784 4.208
Pd 2.092 1.938 0.638
Pd 2.092 0.638 7.755
Pd 2.092 2.909 5.485
Pd 2.092 4.846 0.000
Pd 2.092 9.054 1.938
In 0.000 0.000 0.000
In 0.000 4.846 4.846
Pr 0.000 1.634 3.213
Pr 0.000 3.213 8.059
Pr 0.000 6.480 1.634
Pr 0.000 8.059 6.480
Pt 0.000 3.604 1.243
Pt 0.000 1.243 6.089
Pt 0.000 8.450 3.604
Pt 0.000 6.089 8.450
```

## Properties
Total magnetization (μB/atom): 0.000
Density (Mg/m³): 11.14
V (Å³ per atom): 19.66
SG: P4/mbm
E (eV per cell): -115.07
Calculated formation energy (eV per atom): -0.72



Te2Rh: relaxed, GGA-PBE.

```
6
Lattice="5.917 -3.588 -1.872 6.235 -3.044 1.799 -0.601 -6.982 1.085" Properties=species:S:1:pos:R:3 pbc="T T T"
Te 9.717 -9.756 0.600
Te 7.298 -5.121 0.124
Te 6.887 -8.868 0.714
Te 4.433 -2.646 0.007
Rh 4.754 -5.133 0.347
Rh -0.360 -7.050 1.074
```

## Properties
Total magnetization (μB/atom): 0.000
Density (Mg/m³): 7.09
V (Å³ per atom): 27.98
Formation energy from raw total energies (eV per atom): -0.18
SG: Cm
E (eV per cell): -28.35



TbSc2Ag3Se6: relaxed, GGA-PBE.

```
12
Lattice="-1.037 6.913 0.216 -5.458 -4.369 0.172 2.472 -0.993 6.406" Properties=species:S:1:pos:R:3 pbc="T T T"
Se -1.821 -1.557 1.599
Se -3.741 -0.818 5.180
Se -2.203 3.107 5.195
Se -0.283 2.368 1.615
Se -4.155 1.621 1.795
Se 0.132 -0.071 5.000
Ag -3.517 -3.065 3.383
Ag -2.012 0.775 3.397
Ag -0.507 4.616 3.412
Sc -2.503 3.171 0.202
Sc -3.992 -0.627 0.187
Tb 0.000 0.000 0.000
```

## Properties
Total magnetization (μB/atom): 0.000
Density (Mg/m³): 6.27
V (Å³ per atom): 23.08
Formation energy from raw total energies (eV per atom): -1.08
SG: C2/m
E (eV per cell): -59.73



BaAc2Ag: relaxed, GGA-PBE.

```
4
Lattice="4.025 0.000 0.000 0.000 4.025 0.000 0.000 0.000 10.274" Properties=species:S:1:pos:R:3 pbc="T T T"
Ba 2.013 2.013 5.137
Ac 0.000 0.000 8.386
Ac 0.000 0.000 1.888
Ag 2.013 2.013 0.000
```

## Properties
Total magnetization (μB/atom): 0.000
Density (Mg/m³): 6.97
V (Å³ per atom): 41.62
SG: P4/mmm
E above lowest polymorph (eV per atom): 0.0000
E (eV per cell): -13.22
Calculated formation energy (eV per atom): -0.06



Lu2RuSe: relaxed, GGA-PBE.

```
4
Lattice="3.652 0.000 0.000 1.826 3.163 0.000 1.826 1.054 7.536" Properties=species:S:1:pos:R:3 pbc="T T T"
Ru 0.000 0.000 0.000
Se 3.652 2.108 3.768
Lu 1.826 1.054 1.823
Lu 5.478 3.163 5.713
```

## Properties
Total magnetization (μB/atom): 0.000
Density (Mg/m³): 10.11
V (Å³ per atom): 21.76
Formation energy from raw total energies (eV per atom): -0.89
SG: R-3m
E above lowest polymorph (eV per atom): 0.0975
E (eV per cell): -25.36



PaTaIr: relaxed, GGA-PBE.

```
3
Lattice="2.993 0.000 0.000 0.000 4.757 0.000 0.000 -2.379 4.120" Properties=species:S:1:pos:R:3 pbc="T T T"
Pa 1.935 0.000 2.747
Ta 0.244 0.000 0.000
Ir 0.814 2.379 1.373
```

## Properties
Total magnetization (μB/atom): 0.000
Density (Mg/m³): 17.10
V (Å³ per atom): 19.55
SG: P3m1
E (eV per cell): -30.27
Calculated formation energy (eV per atom): -0.02



- Number 7 is which compound?
  BaAc2Ag



Please write out number 7 again, unchanged.
BaAc2Ag: relaxed, GGA-PBE.

```
4
Lattice="4.025 0.000 0.000 0.000 4.025 0.000 0.000 0.000 10.274" Properties=species:S:1:pos:R:3 pbc="T T T"
Ba 2.013 2.013 5.137
Ac 0.000 0.000 8.386
Ac 0.000 0.000 1.888
Ag 2.013 2.013 0.000
```

## Properties
Total magnetization (μB/atom): 0.000
Density (Mg/m³): 6.97
V (Å³ per atom): 41.62
SG: P4/mmm
E above lowest polymorph (eV per atom): 0.0000
E (eV per cell): -13.22
Calculated formation energy (eV per atom): -0.06



- V of number 2 (La6Co2SeCl3)?
  27.36 Å³ per atom